The following is a DFT calculation (PBE) of a geometry-optimized PrNiH6Ir structure.

Computed properties:
DFT total energy   -4.73 eV/atom
Total moment   0.00 Bohr magnetons per cell
Space-group type   P-6m2 (187)

a b c (Å): 4.679 4.679 4.266
angles (deg): 90.00 90.00 60.00
Atoms (fractional coordinates):
H 0.502 0.501 0.248
H 0.502 0.997 0.752
H 0.501 0.502 0.752
H 0.997 0.501 0.752
H 0.501 0.997 0.248
H 0.997 0.502 0.248
Ni 0.667 0.667 0.500
Pr 0.000 0.000 0.000
Ir 0.333 0.333 0.500

The following is a DFT calculation (PBE) of a geometry-optimized Pr3BiO structure.

Computed properties:
E above lowest polymorph   0.0 kJ/mol of atoms
Total moment   0.00 Bohr magnetons per cell
Space-group type   C2/m (12)
Raw formation energy   -1384.4 meV per atom

a b c (Å): 4.951 9.335 9.766
angles (deg): 139.51 90.00 105.37
Atoms (fractional coordinates):
Bi 0.390 0.781 0.696
Bi 0.610 0.219 0.304
Pr 0.116 0.231 0.543
Pr 0.645 0.290 0.849
Pr 0.872 0.744 0.910
Pr 0.128 0.256 0.090
Pr 0.355 0.710 0.151
Pr 0.884 0.769 0.457
O 0.881 0.763 0.192
O 0.119 0.237 0.808

The following is a DFT calculation (PBE) of a geometry-optimized DyY6Tl structure.

Computed properties:
E above lowest polymorph   7.8 kJ/mol of atoms
Total moment   0.00 Bohr magnetons per cell
Space-group type   R-3 (148)

a b c (Å): 9.276 8.642 6.339
angles (deg): 47.02 42.97 57.55
Atoms (fractional coordinates):
Dy 0.500 0.500 0.500
Tl 0.000 0.000 0.000
Y 0.036 0.454 0.752
Y 0.546 0.242 0.176
Y 0.242 0.036 0.268
Y 0.454 0.758 0.824
Y 0.758 0.964 0.732
Y 0.964 0.546 0.248

The following is a DFT calculation (PBE) of a geometry-optimized LiCdCu3 structure.

Computed properties:
E above lowest polymorph   0.0 kJ/mol of atoms
Total moment   0.00 Bohr magnetons per cell
Space-group type   Pm-3m (221)

a b c (Å): 4.207 4.207 4.207
angles (deg): 90.00 90.00 90.00
Atoms (fractional coordinates):
Cu 0.000 0.500 0.000
Cu 0.500 0.000 0.000
Cu 0.000 0.000 0.500
Cd 0.500 0.500 0.500
Li 0.000 0.000 0.000

The following is a DFT calculation (PBE) of a geometry-optimized SnBiH structure.

Computed properties:
E above lowest polymorph   0.0 kJ/mol of atoms
Total moment   0.00 Bohr magnetons per cell
Space-group type   P-1 (2)

a b c (Å): 3.413 3.389 16.799
angles (deg): 72.97 73.41 59.55
Atoms (fractional coordinates):
Sn 0.083 0.936 0.590
Sn 0.917 0.064 0.410
Bi 0.285 0.275 0.225
Bi 0.715 0.725 0.775
H 0.473 0.455 0.023
H 0.527 0.545 0.977

The following is a DFT calculation (PBE) of a geometry-optimized La6Tc7 structure.

Computed properties:
DFT total energy   -7.72 eV/atom
Total moment   0.00 Bohr magnetons per cell
Space-group type   R-3m (166)

a b c (Å): 11.669 11.669 11.669
angles (deg): 26.62 26.62 26.62
Atoms (fractional coordinates):
La 0.849 0.849 0.849
La 0.334 0.334 0.334
La 0.666 0.666 0.666
La 0.151 0.151 0.151
La 0.950 0.950 0.950
La 0.050 0.050 0.050
Tc 0.595 0.092 0.595
Tc 0.405 0.908 0.405
Tc 0.595 0.595 0.092
Tc 0.092 0.595 0.595
Tc 0.908 0.405 0.405
Tc 0.500 0.500 0.500
Tc 0.405 0.405 0.908

The following is a DFT calculation (PBE) of a geometry-optimized La5Y2Ho structure.

Computed properties:
DFT total energy   -5.15 eV/atom
Total moment   0.00 Bohr magnetons per cell
Space-group type   Cmcm (63)

a b c (Å): 5.706 6.716 16.535
angles (deg): 90.00 90.00 115.14
Atoms (fractional coordinates):
Y 0.774 0.549 0.364
Y 0.774 0.549 0.136
Y 0.226 0.451 0.636
Y 0.226 0.451 0.864
La 0.921 0.843 0.593
La 0.921 0.843 0.907
La 0.612 0.224 0.553
La 0.388 0.776 0.053
La 0.612 0.224 0.947
La 0.388 0.776 0.447
La 0.529 0.059 0.250
La 0.079 0.157 0.407
La 0.079 0.157 0.093
La 0.471 0.941 0.750
Ho 0.250 0.499 0.250
Ho 0.750 0.501 0.750

The following is a DFT calculation (PBE) of a geometry-optimized MgNbCu structure.

Computed properties:
E above lowest polymorph   92.5 kJ/mol of atoms
Total moment   0.00 Bohr magnetons per cell
Space-group type   F-43m (216)

a b c (Å): 4.374 4.374 4.374
angles (deg): 60.00 60.00 60.00
Atoms (fractional coordinates):
Cu 0.750 0.750 0.750
Nb 0.500 0.500 0.500
Mg 0.250 0.250 0.250